1.
Here is an optimized crystal structure of ZnGaTe from the Open Quantum Materials Database. Energies are from PBE.

a = 4.9116 Å, b = 4.9116 Å, c = 4.9116 Å
α = 60.00°, β = 60.00°, γ = 60.00°
Atoms (fractional coordinates):
Ga 0.2500 0.2500 0.2500
Te 0.0000 0.0000 0.0000
Zn 0.7500 0.7500 0.7500

Output
Uncorrected energy = -2.3369 eV/atom
Relative energy among the computed polymorphs = 0 meV per atom

2.
Here is an optimized crystal structure of CsLuFeS3 from the Open Quantum Materials Database. Energies are from PBE.

a = 8.0398 Å, b = 8.0398 Å, c = 10.2564 Å
α = 90.00°, β = 90.00°, γ = 28.40°
Last column: magnetic moment on the atom in μB.
Atoms (fractional coordinates):
Cs 0.7413 0.7413 0.2500  0.01
Cs 0.2587 0.2587 0.7500  0.01
Fe 0.4677 0.4677 0.2500  3.23
Fe 0.5323 0.5323 0.7500  3.21
Lu 0.0000 0.0000 0.0000  0.00
Lu 0.0000 0.0000 0.5000  0.00
S 0.3897 0.3897 0.0614  0.11
S 0.0514 0.0514 0.2500  0.14
S 0.3897 0.3897 0.4386  0.11
S 0.6103 0.6103 0.5614  0.11
S 0.9486 0.9486 0.7500  0.14
S 0.6103 0.6103 0.9386  0.11

Output
Uncorrected energy = -5.6866 eV/atom
Magnetic moment = 3.988 μB/f.u.
Relative energy among the computed polymorphs = 7 meV per atom

3.
Here is an optimized crystal structure of Cu4Ag from the Open Quantum Materials Database. Energies are from PBE.

a = 7.0702 Å, b = 7.0702 Å, c = 4.5283 Å
α = 95.92°, β = 95.92°, γ = 142.39°
Atoms (fractional coordinates):
Ag 0.8041 0.1959 0.5000
Ag 0.1959 0.8041 0.5000
Cu 0.9058 0.0942 0.0000
Cu 0.6931 0.3069 0.0000
Cu 0.5000 0.5000 0.0000
Cu 0.3069 0.6931 0.0000
Cu 0.0942 0.9058 0.0000
Cu 0.0000 0.0000 0.5000
Cu 0.5926 0.4074 0.5000
Cu 0.4074 0.5926 0.5000

Output
Energy of formation from the pure elements = 1.7 kcal/mol of atoms
Uncorrected energy = -3.4644 eV/atom
Relative energy among the computed polymorphs = 30 meV per atom

4.
Here is an optimized crystal structure of Rb2CoPtS4 from the Open Quantum Materials Database. Energies are from PBE.

a = 6.8092 Å, b = 7.3669 Å, c = 7.3669 Å
α = 44.84°, β = 90.00°, γ = 90.00°
Last column: magnetic moment on the atom in μB.
Atoms (fractional coordinates):
Co 0.0000 0.4994 0.4994  -1.20
Pt 0.5000 0.5009 0.5009  0.12
Rb 0.0000 0.1782 0.1782  0.00
Rb 0.5000 0.8206 0.8206  0.00
S 0.2376 0.3924 0.3924  0.01
S 0.7624 0.3924 0.3924  0.01
S 0.2362 0.6080 0.6080  0.00
S 0.7638 0.6080 0.6080  0.00

Output
Uncorrected energy = -4.5525 eV/atom
Magnetic moment = 1.094 μB/f.u.

5.
Here is an optimized crystal structure of PrDyPa from the Open Quantum Materials Database. Energies are from PBE.

a = 5.2007 Å, b = 5.2007 Å, c = 5.2007 Å
α = 60.00°, β = 60.00°, γ = 60.00°
Atoms (fractional coordinates):
Dy 0.2500 0.2500 0.2500
Pa 0.7500 0.7500 0.7500
Pr 0.0000 0.0000 0.0000

Output
Energy of formation from the pure elements = 24.9 kcal/mol of atoms
Uncorrected energy = -5.2120 eV/atom
Magnetic moment = 0.653 μB/f.u.
Relative energy among the computed polymorphs = 0 meV per atom

6.
Here is an optimized crystal structure of Nb2ReGe2 from the Open Quantum Materials Database. Energies are from PBE.

a = 6.4224 Å, b = 6.4224 Å, c = 6.4224 Å
α = 144.67°, β = 144.67°, γ = 50.83°
Last column: magnetic moment on the atom in μB.
Atoms (fractional coordinates):
Ge 0.4027 0.4027 0.0000  0.01
Ge 0.5973 0.5973 0.0000  0.01
Nb 0.7500 0.2500 0.5000  0.06
Nb 0.2500 0.7500 0.5000  0.06
Re 0.0000 0.0000 0.0000  1.45

Output
Uncorrected energy = -7.7134 eV/atom
Magnetic moment = 1.702 μB/f.u.
Relative energy among the computed polymorphs = 510 meV per atom

7.
Here is an optimized crystal structure of FeI2 from the Open Quantum Materials Database. Energies are from PBE.

a = 4.0153 Å, b = 4.0153 Å, c = 21.2118 Å
α = 90.00°, β = 90.00°, γ = 120.00°
Last column: magnetic moment on the atom in μB.
Atoms (fractional coordinates):
Fe 0.0000 0.0000 0.0000  3.39
Fe 0.6667 0.3333 0.3332  3.40
Fe 0.3333 0.6667 0.6668  3.40
I 0.3333 0.6667 0.0756  0.17
I 0.0000 0.0000 0.2576  0.17
I 0.3333 0.6667 0.4089  0.17
I 0.6667 0.3333 0.5911  0.17
I 0.0000 0.0000 0.7424  0.17
I 0.6667 0.3333 0.9244  0.17

Output
Uncorrected energy = -3.8872 eV/atom
Magnetic moment = 4.004 μB/f.u.

8.
Here is an optimized crystal structure of HfNbCo from the Open Quantum Materials Database. Energies are from PBE.

a = 4.2650 Å, b = 4.2650 Å, c = 4.2650 Å
α = 60.00°, β = 60.00°, γ = 60.00°
Atoms (fractional coordinates):
Co 0.0000 0.0000 0.0000
Hf 0.2500 0.2500 0.2500
Nb 0.7500 0.7500 0.7500

Output
Energy of formation from the pure elements = 2.3 kcal/mol of atoms
Uncorrected energy = -8.9514 eV/atom
Magnetic moment = 0.021 μB/f.u.
Relative energy among the computed polymorphs = 0 meV per atom

9.
Here is an optimized crystal structure of RbErTe3Pd from the Open Quantum Materials Database. Energies are from PBE.

a = 9.3156 Å, b = 9.3156 Å, c = 10.1085 Å
α = 90.00°, β = 90.00°, γ = 152.63°
Atoms (fractional coordinates):
Er 0.0000 0.0000 0.0000
Er 0.0000 0.0000 0.5000
Pd 0.5036 0.4964 0.2500
Pd 0.4964 0.5036 0.7500
Rb 0.7539 0.2461 0.2500
Rb 0.2461 0.7539 0.7500
Te 0.3900 0.6100 0.0832
Te 0.0941 0.9059 0.2500
Te 0.3900 0.6100 0.4168
Te 0.6100 0.3900 0.5832
Te 0.9059 0.0941 0.7500
Te 0.6100 0.3900 0.9168

Output
Uncorrected energy = -4.3227 eV/atom
Magnetic moment = 0.009 μB/f.u.

10.
Here is an optimized crystal structure of TaCuAgAu from the Open Quantum Materials Database. Energies are from PBE.

a = 4.5141 Å, b = 4.5141 Å, c = 4.5141 Å
α = 60.00°, β = 60.00°, γ = 60.00°
Atoms (fractional coordinates):
Ag 0.0000 0.0000 0.0000
Au 0.7500 0.7500 0.7500
Cu 0.2500 0.2500 0.2500
Ta 0.5000 0.5000 0.5000

Output
Energy of formation from the pure elements = 3.8 kcal/mol of atoms
Uncorrected energy = -5.2489 eV/atom
Magnetic moment = 0.001 μB/f.u.
Relative energy among the computed polymorphs = 0 meV per atom

11.
Here is an optimized crystal structure of Tb2TaNbGe2 from the Open Quantum Materials Database. Energies are from PBE.

a = 4.0338 Å, b = 4.0338 Å, c = 7.9034 Å
α = 90.00°, β = 90.00°, γ = 90.00°
Last column: magnetic moment on the atom in μB.
Atoms (fractional coordinates):
Ge 0.0000 0.5000 0.2437  -0.01
Ge 0.5000 0.0000 0.7563  -0.01
Nb 0.0000 0.0000 0.0000  0.06
Ta 0.5000 0.5000 0.0000  0.04
Tb 0.5000 0.0000 0.3513  0.32
Tb 0.0000 0.5000 0.6487  0.32

Output
Uncorrected energy = -7.3568 eV/atom
Magnetic moment = 1.144 μB/f.u.

12.
Here is an optimized crystal structure of La2NdAl7Ag2 from the Open Quantum Materials Database. Energies are from PBE.

a = 9.5685 Å, b = 9.5685 Å, c = 9.5685 Å
α = 34.56°, β = 34.56°, γ = 34.56°
Atoms (fractional coordinates):
Ag 0.3363 0.3363 0.3363
Ag 0.6637 0.6637 0.6637
Al 0.5852 0.5852 0.0738
Al 0.9262 0.4148 0.4148
Al 0.4148 0.9262 0.4148
Al 0.5000 0.5000 0.5000
Al 0.5852 0.0738 0.5852
Al 0.0738 0.5852 0.5852
Al 0.4148 0.4148 0.9262
La 0.1423 0.1423 0.1423
La 0.8577 0.8577 0.8577
Nd 0.0000 0.0000 0.0000

Output
Uncorrected energy = -4.3270 eV/atom
Magnetic moment = 0.005 μB/f.u.

Q: Number 6 is which compound?
A: Nb2ReGe2

Q: Which formula does entry 11 have?
A: Tb2TaNbGe2

Q: What is the formula in the fourth record?
A: Rb2CoPtS4

Q: Among the records above, which one has the highest uncorrected energy?
A: ZnGaTe